# KBa, single point on PBEsol structure, DFT meta-GGA SCAN
# DFT formation energy: 62 meV per atom
# energy: -23.8778 eV per atom
# total magnetic moment: 0.2 μB per formula unit
# crystal system: tetragonal
data_KBa
_chemical_formula_sum 'K2 Ba2'
_symmetry_space_group_name_H-M 'P 4/n m m'
_symmetry_Int_Tables_number 129
_cell_length_a 4.290
_cell_length_b 4.290
_cell_length_c 13.968
_cell_angle_alpha 90.00
_cell_angle_beta 90.00
_cell_angle_gamma 90.00
loop_
_symmetry_equiv_pos_as_xyz
'x,y,z'
'-x,-y,-z'
'-y+1/2,x,z'
'y+1/2,-x,-z'
'-x+1/2,-y+1/2,z'
'x+1/2,y+1/2,-z'
'y,-x+1/2,z'
'-y,x+1/2,-z'
'x+1/2,-y,-z'
'-x+1/2,y,z'
'-y,-x,-z'
'y,x,z'
'-x,y+1/2,-z'
'x,-y+1/2,z'
'y+1/2,x+1/2,-z'
'-y+1/2,-x+1/2,z'
loop_
_atom_site_label
_atom_site_type_symbol
_atom_site_fract_x
_atom_site_fract_y
_atom_site_fract_z
K1 K 0.250 0.250 0.130
Ba1 Ba 0.250 0.250 0.618